Record 1
# KTcOs2 (GGA-PBEsol, relaxed)
# * DFT formation energy: 165.5 kJ per mole of atoms
# * ΔE to the lowest computed polymorph: 1.883 eV per formula unit
# * DFT total energy: -0.5507 Ry per atom
# * DOS at the Fermi energy: 5.1 states/eV/cell
# * total magnetic moment: 0.00 μB/f.u.
data_KTcOs2
_chemical_formula_sum 'K1 Tc1 Os2'
_cell_length_a 4.915
_cell_length_b 4.915
_cell_length_c 2.685
_cell_angle_alpha 90.00
_cell_angle_beta 90.00
_cell_angle_gamma 90.00
_space_group_name_H-M_alt 'P 4/m m m'
_space_group_IT_number 123
_space_group_name_Hall '-P 4 2'
loop_
_atom_site_label
_atom_site_fract_x
_atom_site_fract_y
_atom_site_fract_z
_atom_site_occupancy
K1 0.000 0.000 0.000 1
Tc1 0.500 0.500 0.000 1
Os1 0.000 0.500 0.500 1



Record 2
# TlGaOs2O (GGA-PBEsol, relaxed)
# * formation energy from raw total energies: 0.770 eV per atom
# * DFT total energy: -0.4674 Ry per atom
# * DOS at the Fermi energy: 5.1 states/eV/cell
# * total magnetic moment: 0.00 μB/f.u.
data_TlGaOs2O
_chemical_formula_sum 'Tl1 Ga1 Os2 O1'
_cell_length_a 4.153
_cell_length_b 4.153
_cell_length_c 4.294
_cell_angle_alpha 90.00
_cell_angle_beta 90.00
_cell_angle_gamma 90.00
_space_group_name_H-M_alt 'P 4/m m m'
_space_group_IT_number 123
_space_group_name_Hall '-P 4 2'
loop_
_atom_site_label
_atom_site_fract_x
_atom_site_fract_y
_atom_site_fract_z
_atom_site_occupancy
Tl1 0.000 0.000 0.000 1
Ga1 0.500 0.500 0.000 1
Os1 0.000 0.500 0.500 1
O1 0.500 0.500 0.500 1



- Which of these has the highest DFT total energy?
  TlGaOs2O



Please write out number 2 again, unchanged.
# TlGaOs2O (GGA-PBEsol, relaxed)
# * formation energy from raw total energies: 0.770 eV per atom
# * DFT total energy: -0.4674 Ry per atom
# * DOS at the Fermi energy: 5.1 states/eV/cell
# * total magnetic moment: 0.00 μB/f.u.
data_TlGaOs2O
_chemical_formula_sum 'Tl1 Ga1 Os2 O1'
_cell_length_a 4.153
_cell_length_b 4.153
_cell_length_c 4.294
_cell_angle_alpha 90.00
_cell_angle_beta 90.00
_cell_angle_gamma 90.00
_space_group_name_H-M_alt 'P 4/m m m'
_space_group_IT_number 123
_space_group_name_Hall '-P 4 2'
loop_
_atom_site_label
_atom_site_fract_x
_atom_site_fract_y
_atom_site_fract_z
_atom_site_occupancy
Tl1 0.000 0.000 0.000 1
Ga1 0.500 0.500 0.000 1
Os1 0.000 0.500 0.500 1
O1 0.500 0.500 0.500 1



- What is the DFT total energy in the second record?
  -0.4674 Ry per atom